Here is a relaxed Cd2ReBr crystal from Alexandria. Energies are from GGA-PBE.

CIF file:
```
data_Cd2ReBr
_chemical_formula_sum 'Cd4 Re2 Br2'
_cell_length_a 2.9657
_cell_length_b 5.4207
_cell_length_c 10.9962
_cell_angle_alpha 90.00
_cell_angle_beta 90.00
_cell_angle_gamma 90.00
_symmetry_space_group_name_H-M 'C m m 2'
_symmetry_Int_Tables_number 35
loop_
_symmetry_equiv_pos_as_xyz
'x,y,z'
'-x,-y,z'
'-x,y,z'
'x,-y,z'
'x+1/2,y+1/2,z'
'-x+1/2,-y+1/2,z'
'-x+1/2,y+1/2,z'
'x+1/2,-y+1/2,z'
loop_
_atom_site_label
_atom_site_type_symbol
_atom_site_fract_x
_atom_site_fract_y
_atom_site_fract_z
Cd1 Cd 0.0000 0.0000 0.0000
Cd2 Cd 0.0000 0.5000 0.2563
Re1 Re 0.0000 0.0000 0.4786
Br1 Br 0.0000 0.5000 0.6627
```

Values from the calculation:
As for the density of states at the Fermi level: 3.43 states/eV/f.u. The value obtained for the energy relative to the elements, uncorrected is 0.5734 eV per atom. The calculation puts the total energy at -3.41 eV per atom.